[1]
YCuPt2Br after structural relaxation. Source: Alexandria, functional PBE.

```
data_YCuPt2Br
_symmetry_space_group_name_H-M 'P 4/m m m'
_symmetry_Int_Tables_number 123
_symmetry_space_group_name_Hall '-P 4 2'
_cell_length_a 4.7762
_cell_length_b 4.7762
_cell_length_c 4.6643
_cell_angle_alpha 90.00
_cell_angle_beta 90.00
_cell_angle_gamma 90.00
loop_
_atom_site_label
_atom_site_type_symbol
_atom_site_fract_x
_atom_site_fract_y
_atom_site_fract_z
Y1 Y 0.0000 0.0000 0.0000
Cu1 Cu 0.5000 0.5000 0.5000
Pt1 Pt 0.0000 0.5000 0.5000
Br1 Br 0.5000 0.5000 0.0000
```

ΔE_f (raw): -0.041 eV/atom
DOS at the Fermi energy: 1.79 states/eV/cell

---

[2]
Pr3ErIn2 after structural relaxation. Source: Alexandria, functional PBE.

```
data_Pr3ErIn2
_symmetry_space_group_name_H-M 'C m m m'
_symmetry_Int_Tables_number 65
_symmetry_space_group_name_Hall '-C 2 2'
_cell_length_a 5.0693
_cell_length_b 15.6946
_cell_length_c 4.6216
_cell_angle_alpha 90.00
_cell_angle_beta 90.00
_cell_angle_gamma 90.00
loop_
_atom_site_label
_atom_site_type_symbol
_atom_site_fract_x
_atom_site_fract_y
_atom_site_fract_z
Pr1 Pr 0.0000 0.0000 0.0000
Pr2 Pr 0.0000 0.3262 0.0000
Er1 Er 0.0000 0.5000 0.5000
In1 In 0.0000 0.1537 0.5000
```

DOS at the Fermi energy: 12.95 states/eV/cell
formation energy: -0.31 eV per atom
excess energy over the best structure of this formula in the dataset: 36 meV per atom

---

[3]
LiTh2Cu after structural relaxation. Source: Alexandria, functional PBE.

```
data_LiTh2Cu
_symmetry_space_group_name_H-M 'P 4/m m m'
_symmetry_Int_Tables_number 123
_symmetry_space_group_name_Hall '-P 4 2'
_cell_length_a 3.6801
_cell_length_b 3.6801
_cell_length_c 7.0648
_cell_angle_alpha 90.00
_cell_angle_beta 90.00
_cell_angle_gamma 90.00
loop_
_atom_site_label
_atom_site_type_symbol
_atom_site_fract_x
_atom_site_fract_y
_atom_site_fract_z
Li1 Li 0.0000 0.0000 0.0000
Th1 Th 0.5000 0.5000 0.2639
Cu1 Cu 0.0000 0.0000 0.5000
```

DOS at the Fermi energy: 4.06 states/eV/cell
formation energy: 0.10 eV per atom

---

[4]
BeHgAu2 after structural relaxation. Source: Alexandria, functional PBE.

```
data_BeHgAu2
_symmetry_space_group_name_H-M 'C m m m'
_symmetry_Int_Tables_number 65
_symmetry_space_group_name_Hall '-C 2 2'
_cell_length_a 5.9518
_cell_length_b 6.7167
_cell_length_c 3.4542
_cell_angle_alpha 90.00
_cell_angle_beta 90.00
_cell_angle_gamma 90.00
loop_
_atom_site_label
_atom_site_type_symbol
_atom_site_fract_x
_atom_site_fract_y
_atom_site_fract_z
Be1 Be 0.0000 0.0000 0.0000
Hg1 Hg 0.0000 0.5000 0.0000
Au1 Au 0.2500 0.2500 0.5000
```

DOS at the Fermi energy: 2.16 states/eV/cell
formation energy: 0.24 eV per atom
excess energy over the best structure of this formula in the dataset: 276 meV per atom